5
Lattice="5.436 0.000 0.000 0.000 5.436 0.000 0.000 0.000 5.436" Properties=species:S:1:pos:R:3 comment="PBE Sc3CrBi, relaxed" delta_e_f_ev_per_atom=0.78 pbc="T T T"
Sc 0.000 2.718 0.000
Sc 0.000 0.000 2.718
Sc 2.718 0.000 0.000
Cr 2.718 2.718 2.718
Bi 0.000 0.000 0.000